! TiMnZnF2 PBE+U relaxed; values from VASP
&SYSTEM
  ibrav = 0, nat = 5, ntyp = 4
/
ATOMIC_SPECIES
Ti 47.87 Ti.upf
Mn 54.94 Mn.upf
Zn 65.41 Zn.upf
F 19.00 F.upf
CELL_PARAMETERS angstrom
3.9428 0.0000 0.0000
0.0000 3.9428 0.0000
0.0000 0.0000 6.2120
ATOMIC_POSITIONS angstrom
Ti 0.0000 0.0000 0.0000
Mn 1.9714 1.9714 0.0000
Zn 0.0000 0.0000 3.1060
F 0.0000 1.9714 3.1060
F 1.9714 0.0000 3.1060
! Space group: P4/mmm
! Calculated total energy, eV/atom: -4.51